(1)
The following is a PBE-GGA calculation of an optimized crystal structure of PuGa2Ni6, from the Alexandria database. Values from VASP.

## Properties
- Uncorrected energy: -6.1998 eV/atom
- Energy of formation: -0.0805 eV/atom

Structure (Quantum ESPRESSO input):
```
&SYSTEM
  ibrav = 0, nat = 9, ntyp = 3
/
ATOMIC_SPECIES
Ni 58.69 Ni.upf
Ga 69.72 Ga.upf
Pu 244.00 Pu.upf
ATOMIC_POSITIONS crystal
Ni 0.676 0.006 0.641
Ga 0.152 0.348 0.348
Ni 0.676 0.641 0.006
Ni 0.500 0.664 0.336
Ni 0.500 0.336 0.664
Ni 0.324 0.359 0.994
Pu 0.000 0.000 0.000
Ni 0.324 0.994 0.359
Ga 0.848 0.652 0.652
CELL_PARAMETERS angstrom
-1.589 1.795 -1.237
-0.724 -3.164 -6.599
-5.715 -4.268 -1.789
```


(2)
The following is a PBE-GGA calculation of an optimized crystal structure of PuGaNi, from the Alexandria database. Values from VASP.

## Properties
- Uncorrected energy: -7.5084 eV/atom
- Energy of formation: 0.2050 eV/atom

Structure (Quantum ESPRESSO input):
```
&SYSTEM
  ibrav = 0, nat = 9, ntyp = 3
/
ATOMIC_SPECIES
Ga 69.72 Ga.upf
Pu 244.00 Pu.upf
Ni 58.69 Ni.upf
ATOMIC_POSITIONS crystal
Ga 0.000 0.000 0.239
Pu 0.500 0.000 0.568
Ga 0.000 0.761 0.761
Ni 0.000 0.333 0.667
Ga 0.000 0.239 0.000
Pu 0.500 0.432 0.432
Ni 0.500 0.000 0.000
Pu 0.500 0.568 0.000
Ni 0.000 0.667 0.333
CELL_PARAMETERS angstrom
4.085 0.000 0.000
0.000 6.464 0.000
0.000 -3.232 5.598
```


> Look up the energy of formation of the first one.

-0.0805 eV/atom